# 1
Below is an optimized crystal structure of Ca2ScBr, with properties calculated at the GGA-PBE level.

Cell lengths 7.1600, 7.1600, 7.1600 Å; angles 103.60, 103.60, 122.00 degrees
Element x y z (fractional)
Ca  0.0659  0.6250  0.9409
Ca  0.3750  0.3159  0.4409
Ca  0.6841  0.1250  0.0591
Ca  0.8750  0.9341  0.5591
Sc  0.2500  0.7500  0.5000
Sc  0.5000  0.5000  0.0000
Br  0.0000  0.0000  0.0000
Br  0.7500  0.2500  0.5000

Output
Formation energy without anion corrections   -0.177 eV/atom
Total moment   1.99 μB per formula unit
Calculated density   2.50 Mg/m³
SG   I-42d, No. 122

***

# 2
Below is an optimized crystal structure of Li2ThZn9, with properties calculated at the GGA-PBE level.

Cell lengths 7.9834, 7.9834, 3.6378 Å; angles 90.00, 90.00, 120.00 degrees
Element x y z (fractional)
Li  0.3333  0.6667  0.0000
Li  0.6667  0.3333  0.0000
Th  0.0000  0.0000  0.0000
Zn  0.0000  0.5000  0.0000
Zn  0.1969  0.3938  0.5000
Zn  0.1969  0.8031  0.5000
Zn  0.3938  0.1969  0.5000
Zn  0.5000  0.0000  0.0000
Zn  0.5000  0.5000  0.0000
Zn  0.6062  0.8031  0.5000
Zn  0.8031  0.1969  0.5000
Zn  0.8031  0.6062  0.5000

Output
Total moment   0.00 μB per formula unit
Calculated density   6.90 Mg/m³
SG   P6/mmm, No. 191
E   -22.94 eV/f.u.

***

# 3
Below is an optimized crystal structure of PrAl2Cu4, with properties calculated at the GGA-PBE level.

Cell lengths 5.2916, 5.2916, 5.2916 Å; angles 104.13, 104.13, 120.78 degrees
Element x y z (fractional)
Pr  0.0000  0.0000  0.0000
Al  0.2500  0.7500  0.5000
Al  0.7500  0.2500  0.5000
Cu  0.3101  0.3101  0.6202
Cu  0.3101  0.6899  0.0000
Cu  0.6899  0.3101  0.0000
Cu  0.6899  0.6899  0.3798

Output
Total moment   0.00 μB per formula unit
Calculated density   6.74 Mg/m³
SG   I4/mmm, No. 139
E   -30.77 eV/f.u.

***

# 4
Below is an optimized crystal structure of Ti4GeS, with properties calculated at the GGA-PBE level.

Cell lengths 7.0399, 7.0399, 6.2505 Å; angles 105.34, 105.34, 42.24 degrees
Element x y z (fractional)
Ti  0.0236  0.8175  0.5533
Ti  0.1825  0.9764  0.9467
Ti  0.2198  0.4351  0.8646
Ti  0.4351  0.2198  0.3646
Ti  0.5649  0.7802  0.6354
Ti  0.7802  0.5649  0.1354
Ti  0.8175  0.0236  0.0533
Ti  0.9764  0.1825  0.4467
Ge  0.3759  0.6241  0.2500
Ge  0.6241  0.3759  0.7500
S  0.0000  0.5000  0.5000
S  0.5000  0.0000  0.0000

Output
Formation energy without anion corrections   -0.582 eV/atom
Total moment   0.00 μB per formula unit
Calculated density   4.93 Mg/m³
SG   C2/c, No. 15

***

# 5
Below is an optimized crystal structure of LaPm3Si3, with properties calculated at the GGA-PBE level.

Cell lengths 7.9093, 7.9093, 7.9093 Å; angles 69.24, 69.24, 69.24 degrees
Element x y z (fractional)
La  0.1666  0.1666  0.1666
La  0.8334  0.8334  0.8334
Pm  0.1235  0.6977  0.3958
Pm  0.3023  0.6042  0.8765
Pm  0.3958  0.1235  0.6977
Pm  0.6042  0.8765  0.3023
Pm  0.6977  0.3958  0.1235
Pm  0.8765  0.3023  0.6042
Si  0.0601  0.4336  0.7835
Si  0.2165  0.9399  0.5664
Si  0.4336  0.7835  0.0601
Si  0.5664  0.2165  0.9399
Si  0.7835  0.0601  0.4336
Si  0.9399  0.5664  0.2165

Output
Formation energy without anion corrections   -0.497 eV/atom
Total moment   0.00 μB per formula unit
Calculated density   5.23 Mg/m³
SG   R-3, No. 148

***

# 6
Below is an optimized crystal structure of Li2Pu2O7, with properties calculated at the GGA-PBE level.

Cell lengths 6.7124, 6.7124, 4.2484 Å; angles 90.86, 90.86, 120.79 degrees
Element x y z (fractional)
Li  0.2467  0.7533  0.0000
Li  0.7533  0.2467  0.0000
Pu  0.2152  0.2152  0.2639
Pu  0.7848  0.7848  0.7361
O  0.0631  0.3837  0.2356
O  0.1183  0.1183  0.7549
O  0.3837  0.0631  0.2356
O  0.5000  0.5000  0.5000
O  0.6163  0.9369  0.7644
O  0.8817  0.8817  0.2451
O  0.9369  0.6163  0.7644

Output
Formation energy without anion corrections   -2.328 eV/atom
Total moment   4.00 μB per formula unit
Calculated density   6.20 Mg/m³
SG   C2/m, No. 12

***

# 7
Below is an optimized crystal structure of BaY2Pt, with properties calculated at the GGA-PBE level.

Cell lengths 3.7744, 3.7744, 9.0587 Å; angles 90.00, 90.00, 90.00 degrees
Element x y z (fractional)
Ba  0.0000  0.0000  0.0000
Y  0.0000  0.0000  0.3850
Y  0.5000  0.5000  0.6455
Pt  0.5000  0.5000  0.2549

Output
Total moment   0.96 μB per formula unit
Calculated density   6.57 Mg/m³
SG   P4mm, No. 99
E   -22.56 eV/f.u.

***

# 8
Below is an optimized crystal structure of MgSiAu2, with properties calculated at the GGA-PBE level.

Cell lengths 8.4980, 8.4980, 8.4980 Å; angles 21.45, 21.45, 21.45 degrees
Element x y z (fractional)
Mg  0.0000  0.0000  0.0000
Si  0.5000  0.5000  0.5000
Au  0.2443  0.2443  0.2443
Au  0.7557  0.7557  0.7557

Output
Formation energy without anion corrections   -0.096 eV/atom
Total moment   0.00 μB per formula unit
Calculated density   10.30 Mg/m³
SG   R-3m, No. 166

***

# 9
Below is an optimized crystal structure of SrAl2Sb2, with properties calculated at the GGA-PBE level.

Cell lengths 8.1659, 8.1659, 3.8474 Å; angles 90.00, 90.00, 90.00 degrees
Element x y z (fractional)
Sr  0.0000  0.0000  0.0000
Sr  0.5000  0.5000  0.0000
Al  0.1161  0.3839  0.0000
Al  0.3839  0.8839  0.0000
Al  0.6161  0.1161  0.0000
Al  0.8839  0.6161  0.0000
Sb  0.1707  0.6707  0.5000
Sb  0.3293  0.1707  0.5000
Sb  0.6707  0.8293  0.5000
Sb  0.8293  0.3293  0.5000

Output
Formation energy without anion corrections   -0.204 eV/atom
Total moment   0.00 μB per formula unit
Calculated density   4.99 Mg/m³
SG   P4/mbm, No. 127

***

# 10
Below is an optimized crystal structure of Li2Bi3H2Rh5, with properties calculated at the GGA-PBE level.

Cell lengths 11.1770, 11.1770, 11.1770 Å; angles 158.73, 158.73, 30.26 degrees
Element x y z (fractional)
Li  0.1784  0.1784  0.0000
Li  0.8216  0.8216  0.0000
Bi  0.3159  0.3159  0.0000
Bi  0.5000  0.5000  0.0000
Bi  0.6841  0.6841  0.0000
H  0.0867  0.0867  0.0000
H  0.9133  0.9133  0.0000
Rh  0.0000  0.0000  0.0000
Rh  0.0968  0.5968  0.5000
Rh  0.4032  0.9032  0.5000
Rh  0.5968  0.0968  0.5000
Rh  0.9032  0.4032  0.5000

Output
Total moment   0.00 μB per formula unit
Calculated density   10.47 Mg/m³
SG   I4/mmm, No. 139
E   -61.29 eV/f.u.

***

# 11
Below is an optimized crystal structure of Tl2SeF, with properties calculated at the GGA-PBE level.

Cell lengths 5.5707, 6.6608, 13.3338 Å; angles 90.00, 114.28, 90.00 degrees
Element x y z (fractional)
Tl  0.1074  0.2175  0.1079
Tl  0.1074  0.7825  0.6079
Tl  0.3613  0.2369  0.8601
Tl  0.3613  0.7631  0.3601
Tl  0.6387  0.2369  0.6399
Tl  0.6387  0.7631  0.1399
Tl  0.8926  0.2175  0.3921
Tl  0.8926  0.7825  0.8921
Se  0.3822  0.2570  0.3817
Se  0.3822  0.7430  0.8817
Se  0.6178  0.2570  0.1183
Se  0.6178  0.7430  0.6183
F  0.0963  0.1519  0.6031
F  0.0963  0.8481  0.1031
F  0.9037  0.1519  0.8969
F  0.9037  0.8481  0.3969

Output
Formation energy without anion corrections   -0.956 eV/atom
Total moment   0.00 μB per formula unit
Calculated density   7.46 Mg/m³
SG   P2/c, No. 13

***

# 12
Below is an optimized crystal structure of Na2CrI, with properties calculated at the GGA-PBE level.

Cell lengths 7.1321, 7.1321, 7.1321 Å; angles 106.94, 106.94, 114.67 degrees
Element x y z (fractional)
Na  0.1125  0.6250  0.9875
Na  0.3750  0.3625  0.4875
Na  0.6375  0.1250  0.0125
Na  0.8750  0.8875  0.5125
Cr  0.2500  0.7500  0.5000
Cr  0.5000  0.5000  0.0000
I  0.0000  0.0000  0.0000
I  0.7500  0.2500  0.5000

Output
Formation energy without anion corrections   0.240 eV/atom
Total moment   5.05 μB per formula unit
Calculated density   2.69 Mg/m³
SG   I-42d, No. 122